Record 1
The following is a PBE calculation of a relaxed structure of BaMgP2, from the Alexandria database.

Lattice parameters (Å, degrees): 5.4801 5.4801 3.2591 90.00 90.00 90.07
Last column: nearest neighbours and their distance in Å.
Positions (direct):
Ba 0.5000 0.0000 0.5000  8 P 3.19, 2 Ba 3.26
Mg 0.0000 0.5000 0.5000  8 P 3.19, 2 Mg 3.26
P 0.5000 0.5000 0.0000  4 Mg 3.19, 4 Ba 3.19, 2 P 3.26
P 0.0000 0.0000 0.0000  4 Ba 3.19, 4 Mg 3.19, 2 P 3.26

N(E_F)	2.3	states/eV per cell
DFT total energy	-3.76	eV/atom
calculated volume	24.5	Å³/atom



Record 2
The following is a PBE calculation of a relaxed structure of NaHf3P, from the Alexandria database.

Lattice parameters (Å, degrees): 4.8646 4.8646 4.8646 90.00 90.00 90.00
Last column: nearest neighbours and their distance in Å.
Positions (direct):
P 0.5000 0.5000 0.5000  12 Hf 3.44
Hf 0.0000 0.5000 0.0000  2 Na 2.43
Hf 0.0000 0.0000 0.5000  2 Na 2.43
Hf 0.5000 0.0000 0.0000  2 Na 2.43
Na 0.0000 0.0000 0.0000  6 Hf 2.43

N(E_F)	5.2	states/eV per cell
DFT total energy	-5.65	eV/atom
calculated volume	23.0	Å³/atom
energy relative to the lowest polymorph listed for this composition	154.2	kJ/mol of atoms



Record 3
The following is a PBE calculation of a relaxed structure of TiTc2HRh, from the Alexandria database.

Lattice parameters (Å, degrees): 3.8698 3.8698 4.0890 90.00 90.00 90.00
Last column: nearest neighbours and their distance in Å.
Positions (direct):
Ti 0.5000 0.5000 0.5000  4 Rh 2.74, 8 Tc 2.81
Tc 0.0000 0.5000 0.0000  2 H 1.93
Tc 0.5000 0.0000 0.0000  2 H 1.93
Rh 0.0000 0.0000 0.5000  2 H 2.04
H 0.0000 0.0000 0.0000  4 Tc 1.93, 2 Rh 2.04

N(E_F)	5.3	states/eV per cell
DFT total energy	-8.06	eV/atom
calculated volume	12.2	Å³/atom
energy relative to the lowest polymorph listed for this composition	1.8	kJ/mol of atoms



Record 4
The following is a PBE calculation of a relaxed structure of Ca3TmZr2As6, from the Alexandria database.

Lattice parameters (Å, degrees): 6.9610 6.9610 7.2425 99.25 99.25 120.03
Last column: nearest neighbours and their distance in Å.
Positions (direct):
As 0.9234 0.5814 0.7712  2 Zr 2.77-2.78, 1 Tm 2.85, 3 Ca 2.94-3.00
As 0.0766 0.4186 0.2288  2 Zr 2.77-2.78, 1 Tm 2.85, 3 Ca 2.94-3.00
As 0.2662 0.2662 0.7719  2 Zr 2.78, 1 Tm 2.85, 3 Ca 2.93-2.98
As 0.5814 0.9234 0.7712  2 Zr 2.77-2.78, 1 Tm 2.85, 3 Ca 2.94-3.00
As 0.4186 0.0766 0.2288  2 Zr 2.77-2.78, 1 Tm 2.85, 3 Ca 2.94-3.00
As 0.7338 0.7338 0.2281  2 Zr 2.78, 1 Tm 2.85, 3 Ca 2.93-2.98
Ca 0.1645 0.8355 0.5000  6 As 2.94-3.00
Ca 0.8355 0.1645 0.5000  6 As 2.94-3.00
Ca 0.5000 0.5000 0.5000  6 As 2.93-3.00
Tm 0.0000 0.0000 0.0000  6 As 2.85
Zr 0.3328 0.6672 0.0000  6 As 2.77-2.78
Zr 0.6672 0.3328 0.0000  6 As 2.77-2.78

N(E_F)	3.9	states/eV per cell
DFT total energy	-5.82	eV/atom
calculated volume	24.0	Å³/atom



Record 5
The following is a PBE calculation of a relaxed structure of ZnRu4Rh, from the Alexandria database.

Lattice parameters (Å, degrees): 5.0614 5.0614 5.0614 60.00 60.00 60.00
Last column: nearest neighbours and their distance in Å.
Positions (direct):
Ru 0.3749 0.8754 0.3749  6 Ru 2.53
Ru 0.3749 0.3749 0.3749  6 Ru 2.53
Ru 0.8754 0.3749 0.3749  6 Ru 2.53
Ru 0.3749 0.3749 0.8754  6 Ru 2.53
Rh 0.0000 0.0000 0.0000  12 Ru 2.97, 4 Zn 3.10
Zn 0.7500 0.7500 0.7500  12 Ru 2.97, 4 Rh 3.10

N(E_F)	10.1	states/eV per cell
DFT total energy	-7.08	eV/atom
calculated volume	15.3	Å³/atom



Record 6
The following is a PBE calculation of a relaxed structure of KY3Co, from the Alexandria database.

Lattice parameters (Å, degrees): 5.1763 5.1763 5.1763 90.00 90.00 90.00
Last column: nearest neighbours and their distance in Å.
Positions (direct):
Y 0.0000 0.0000 0.5000  2 K 2.59
Y 0.5000 0.0000 0.0000  2 K 2.59
Y 0.0000 0.5000 0.0000  2 K 2.59
Co 0.5000 0.5000 0.5000  12 Y 3.66
K 0.0000 0.0000 0.0000  6 Y 2.59

N(E_F)	6.6	states/eV per cell
DFT total energy	-3.73	eV/atom
calculated volume	27.7	Å³/atom



Record 7
The following is a PBE calculation of a relaxed structure of Na2CrSb2S6, from the Alexandria database.

Lattice parameters (Å, degrees): 6.4905 6.4905 7.1709 99.56 99.56 118.19
Last column: nearest neighbours and their distance in Å.
Positions (direct):
S 0.3767 0.0701 0.7096  1 Cr 2.44, 1 Sb 2.65
S 0.0701 0.3767 0.7096  1 Cr 2.44, 1 Sb 2.65
S 0.7842 0.7842 0.7109  1 Cr 2.40
S 0.2158 0.2158 0.2891  1 Cr 2.40
S 0.9299 0.6233 0.2904  1 Cr 2.44, 1 Sb 2.65
S 0.6233 0.9299 0.2904  1 Cr 2.44, 1 Sb 2.65
Sb 0.6674 0.3326 0.5000  6 S 2.65-2.74
Sb 0.3326 0.6674 0.5000  6 S 2.65-2.74
Na 0.8250 0.1750 0.0000  6 S 2.87-2.99
Na 0.1750 0.8250 0.0000  6 S 2.87-2.99
Cr 0.0000 0.0000 0.5000  6 S 2.40-2.44

N(E_F)	4.3	states/eV per cell
DFT total energy	-4.74	eV/atom
calculated volume	22.9	Å³/atom
energy relative to the elements, uncorrected	-622	meV per atom



Record 8
The following is a PBE calculation of a relaxed structure of Ho2Er3Pb, from the Alexandria database.

Lattice parameters (Å, degrees): 4.8760 4.8321 7.8383 107.95 90.00 90.00
Last column: nearest neighbours and their distance in Å.
Positions (direct):
Ho 0.0000 0.3367 0.6733  2 Pb 3.43, 8 Er 3.43-3.48, 2 Ho 3.54
Ho 0.0000 0.6633 0.3267  2 Pb 3.43, 8 Er 3.43-3.48, 2 Ho 3.54
Pb 0.0000 0.0000 0.0000  4 Ho 3.43, 8 Er 3.43-3.52
Er 0.5000 0.8299 0.6598  4 Er 3.39-3.50, 6 Ho 3.43-3.48, 2 Pb 3.52
Er 0.5000 0.5000 0.0000  4 Pb 3.43, 4 Ho 3.45, 4 Er 3.50
Er 0.5000 0.1701 0.3402  4 Er 3.39-3.50, 6 Ho 3.43-3.48, 2 Pb 3.52

N(E_F)	6.5	states/eV per cell
DFT total energy	-4.61	eV/atom
calculated volume	29.3	Å³/atom



Record 9
The following is a PBE calculation of a relaxed structure of Lu2BiAu, from the Alexandria database.

Lattice parameters (Å, degrees): 3.7810 3.7810 7.0065 90.00 90.00 90.00
Last column: nearest neighbours and their distance in Å.
Positions (direct):
Au 0.5000 0.5000 0.0000  8 Lu 3.13, 2 Bi 3.50
Lu 0.0000 0.0000 0.2323  4 Au 3.13, 1 Lu 3.25, 4 Bi 3.27
Lu 0.0000 0.0000 0.7677  4 Au 3.13, 1 Lu 3.25, 4 Bi 3.27
Bi 0.5000 0.5000 0.5000  8 Lu 3.27, 2 Au 3.50

N(E_F)	3.3	states/eV per cell
DFT total energy	-4.68	eV/atom
calculated volume	25.0	Å³/atom



Record 10
The following is a PBE calculation of a relaxed structure of YNi6Ge2, from the Alexandria database.

Lattice parameters (Å, degrees): 4.0020 4.0020 7.8042 90.00 90.00 90.00
Last column: nearest neighbours and their distance in Å.
Positions (direct):
Y 0.0000 0.0000 0.0000  8 Ge 3.10, 8 Ni 3.18
Ni 0.0000 0.0000 0.5000  8 Ni 2.46
Ni 0.5000 0.0000 0.6841  2 Ge 2.33, 4 Ni 2.46
Ni 0.5000 0.0000 0.3159  2 Ge 2.33, 4 Ni 2.46
Ni 0.5000 0.5000 0.5000  8 Ni 2.46, 2 Ge 2.63
Ni 0.0000 0.5000 0.6841  2 Ge 2.33, 4 Ni 2.46
Ni 0.0000 0.5000 0.3159  2 Ge 2.33, 4 Ni 2.46
Ge 0.5000 0.5000 0.1632  4 Ni 2.33, 1 Ge 2.55
Ge 0.5000 0.5000 0.8368  4 Ni 2.33, 1 Ge 2.55

N(E_F)	13.3	states/eV per cell
DFT total energy	-5.91	eV/atom
calculated volume	13.9	Å³/atom
energy relative to the lowest polymorph listed for this composition	0.0	kJ/mol of atoms



Record 11
The following is a PBE calculation of a relaxed structure of Mg5Ni2H12, from the Alexandria database.

Lattice parameters (Å, degrees): 5.0359 6.1287 6.2166 102.54 90.00 114.26
Last column: nearest neighbours and their distance in Å.
Positions (direct):
H 0.0796 0.6610 0.8973  1 Ni 1.85, 3 Mg 1.92-2.05
H 0.6034 0.7050 0.4379  3 Mg 1.97-2.17
H 0.9867 0.9735 0.1664  2 Ni 1.66
H 0.4945 0.9890 0.1748  2 Ni 1.67
H 0.5814 0.6610 0.8973  1 Ni 1.85, 3 Mg 1.92-2.05
H 0.0133 0.0265 0.8336  2 Ni 1.66
H 0.8984 0.2950 0.5621  3 Mg 1.97-2.17
H 0.5055 0.0110 0.8252  2 Ni 1.67
H 0.9204 0.3390 0.1027  1 Ni 1.85, 3 Mg 1.92-2.05
H 0.4186 0.3390 0.1027  1 Ni 1.85, 3 Mg 1.92-2.05
H 0.3966 0.2950 0.5621  3 Mg 1.97-2.17
H 0.1016 0.7050 0.4379  3 Mg 1.97-2.17
Mg 0.3110 0.6219 0.1467  7 H 1.99-2.17
Mg 0.0000 0.0000 0.5000  6 H 2.03-2.04
Mg 0.3200 0.6400 0.6600  5 H 1.92-2.08
Mg 0.6890 0.3781 0.8533  7 H 1.99-2.17
Mg 0.6800 0.3600 0.3400  5 H 1.92-2.08
Ni 0.7499 0.0000 0.0000  6 H 1.66-1.85
Ni 0.2501 0.0000 0.0000  6 H 1.66-1.85

N(E_F)	2.8	states/eV per cell
DFT total energy	-3.25	eV/atom
calculated volume	8.9	Å³/atom



Record 12
The following is a PBE calculation of a relaxed structure of LaThUN3, from the Alexandria database.

Lattice parameters (Å, degrees): 3.7152 7.3822 9.0870 96.10 90.00 90.00
Last column: nearest neighbours and their distance in Å.
Positions (direct):
N 0.2500 0.1166 0.8392  1 U 2.23
N 0.2500 0.7866 0.4074  2 U 2.19
N 0.2500 0.5932 0.8869  3 Th 2.41-2.49, 2 La 2.67
N 0.7500 0.4068 0.1131  3 Th 2.41-2.49, 2 La 2.67
N 0.7500 0.8834 0.1608  1 U 2.23
N 0.7500 0.2134 0.5926  2 U 2.19
La 0.7500 0.8505 0.8707  5 N 2.62-2.74
La 0.2500 0.1495 0.1293  5 N 2.62-2.74
Th 0.2500 0.6308 0.1533  6 N 2.41-2.63
Th 0.7500 0.3692 0.8467  6 N 2.41-2.63
U 0.7500 0.9441 0.4066  3 N 2.19-2.23
U 0.2500 0.0559 0.5934  3 N 2.19-2.23

N(E_F)	8.1	states/eV per cell
DFT total energy	-9.21	eV/atom
calculated volume	20.7	Å³/atom
energy relative to the elements, uncorrected	-1106	meV per atom